Record 1
The following is a PBE-GGA calculation of a relaxed structure of Tl4InHgBi, from the Alexandria database.

- space group = P2_1/m (11)
- DOS at the Fermi energy (states/eV/cell) = 4.784
- formation energy (kJ/mol of formula units) = 10

The structure in CIF format:
```
data_Tl4InHgBi
_cell_length_a 8.590
_cell_length_b 6.763
_cell_length_c 8.692
_cell_angle_alpha 90.00
_cell_angle_beta 121.00
_cell_angle_gamma 90.00
_symmetry_space_group_name_H-M 'P 1'
_symmetry_Int_Tables_number 1
_symmetry_space_group_name_Hall 'P 1'
loop_
_atom_site_label
_atom_site_type_symbol
_atom_site_fract_x
_atom_site_fract_y
_atom_site_fract_z
Tl1 Tl 0.077 0.503 0.738
Tl2 Tl 0.923 0.003 0.262
Tl3 Tl 0.923 0.497 0.262
Tl4 Tl 0.077 0.997 0.738
Tl5 Tl 0.501 0.750 0.012
Tl6 Tl 0.499 0.250 0.988
Tl7 Tl 0.347 0.750 0.571
Tl8 Tl 0.653 0.250 0.429
In1 In 0.221 0.750 0.156
In2 In 0.779 0.250 0.844
Hg1 Hg 0.668 0.750 0.438
Hg2 Hg 0.332 0.250 0.562
Bi1 Bi 0.796 0.750 0.863
Bi2 Bi 0.204 0.250 0.137
```


Record 2
The following is a PBE-GGA calculation of a relaxed structure of TlIn4HgBi2, from the Alexandria database.

- space group = Cmcm (63)
- DOS at the Fermi energy (states/eV/cell) = 8.654
- formation energy (kJ/mol of formula units) = 35

The structure in CIF format:
```
data_TlIn4HgBi2
_cell_length_a 5.126
_cell_length_b 6.080
_cell_length_c 17.447
_cell_angle_alpha 90.00
_cell_angle_beta 90.00
_cell_angle_gamma 114.93
_symmetry_space_group_name_H-M 'P 1'
_symmetry_Int_Tables_number 1
_symmetry_space_group_name_Hall 'P 1'
loop_
_atom_site_label
_atom_site_type_symbol
_atom_site_fract_x
_atom_site_fract_y
_atom_site_fract_z
Tl1 Tl 0.820 0.641 0.750
Tl2 Tl 0.180 0.359 0.250
In1 In 0.355 0.709 0.082
In2 In 0.645 0.291 0.582
In3 In 0.645 0.291 0.918
In4 In 0.355 0.709 0.418
In5 In 0.000 0.000 0.500
In6 In 0.000 0.000 0.000
In7 In 0.499 0.999 0.750
In8 In 0.501 0.001 0.250
Hg1 Hg 0.132 0.264 0.750
Hg2 Hg 0.868 0.736 0.250
Bi1 Bi 0.328 0.655 0.601
Bi2 Bi 0.672 0.345 0.101
Bi3 Bi 0.672 0.345 0.399
Bi4 Bi 0.328 0.655 0.899
```


Record 3
The following is a PBE-GGA calculation of a relaxed structure of YInHgBi, from the Alexandria database.

- space group = F-43m (216)
- DOS at the Fermi energy (states/eV/cell) = 2.806
- formation energy (kJ/mol of formula units) = -100

The structure in CIF format:
```
data_YInHgBi
_cell_length_a 5.420
_cell_length_b 5.420
_cell_length_c 5.420
_cell_angle_alpha 60.00
_cell_angle_beta 60.00
_cell_angle_gamma 60.00
_symmetry_space_group_name_H-M 'P 1'
_symmetry_Int_Tables_number 1
_symmetry_space_group_name_Hall 'P 1'
loop_
_atom_site_label
_atom_site_type_symbol
_atom_site_fract_x
_atom_site_fract_y
_atom_site_fract_z
Y1 Y 0.750 0.750 0.750
In1 In 0.250 0.250 0.250
Bi1 Bi 0.000 0.000 0.000
Hg1 Hg 0.500 0.500 0.500
```


Record 4
The following is a PBE-GGA calculation of a relaxed structure of ZnInHgBi, from the Alexandria database.

- space group = F-43m (216)
- DOS at the Fermi energy (states/eV/cell) = 1.148
- formation energy (kJ/mol of formula units) = 36

The structure in CIF format:
```
data_ZnInHgBi
_cell_length_a 5.284
_cell_length_b 5.284
_cell_length_c 5.284
_cell_angle_alpha 60.00
_cell_angle_beta 60.00
_cell_angle_gamma 60.00
_symmetry_space_group_name_H-M 'P 1'
_symmetry_Int_Tables_number 1
_symmetry_space_group_name_Hall 'P 1'
loop_
_atom_site_label
_atom_site_type_symbol
_atom_site_fract_x
_atom_site_fract_y
_atom_site_fract_z
Zn1 Zn 0.000 0.000 0.000
In1 In 0.500 0.500 0.500
Bi1 Bi 0.250 0.250 0.250
Hg1 Hg 0.750 0.750 0.750
```


Record 5
The following is a PBE-GGA calculation of a relaxed structure of ZnIn2HgBi, from the Alexandria database.

- space group = P4/mmm (123)
- DOS at the Fermi energy (states/eV/cell) = 3.160
- formation energy (kJ/mol of formula units) = 167

The structure in CIF format:
```
data_ZnIn2HgBi
_cell_length_a 5.622
_cell_length_b 4.923
_cell_length_c 5.622
_cell_angle_alpha 90.00
_cell_angle_beta 90.00
_cell_angle_gamma 90.00
_symmetry_space_group_name_H-M 'P 1'
_symmetry_Int_Tables_number 1
_symmetry_space_group_name_Hall 'P 1'
loop_
_atom_site_label
_atom_site_type_symbol
_atom_site_fract_x
_atom_site_fract_y
_atom_site_fract_z
Zn1 Zn 0.000 0.500 0.000
In1 In 0.000 0.000 0.500
In2 In 0.500 0.000 0.000
Bi1 Bi 0.500 0.500 0.500
Hg1 Hg 0.000 0.000 0.000
```


Record 6
The following is a PBE-GGA calculation of a relaxed structure of HgBi2Ir, from the Alexandria database.

- space group = I-42d (122)
- DOS at the Fermi energy (states/eV/cell) = 4.936
- formation energy (kJ/mol of formula units) = 57

The structure in CIF format:
```
data_HgBi2Ir
_cell_length_a 9.153
_cell_length_b 9.153
_cell_length_c 7.014
_cell_angle_alpha 49.27
_cell_angle_beta 49.27
_cell_angle_gamma 90.00
_symmetry_space_group_name_H-M 'P 1'
_symmetry_Int_Tables_number 1
_symmetry_space_group_name_Hall 'P 1'
loop_
_atom_site_label
_atom_site_type_symbol
_atom_site_fract_x
_atom_site_fract_y
_atom_site_fract_z
Ir1 Ir 0.500 0.500 0.000
Ir2 Ir 0.250 0.750 0.500
Bi1 Bi 0.520 0.125 0.250
Bi2 Bi 0.230 0.625 0.250
Bi3 Bi 0.375 0.480 0.750
Bi4 Bi 0.875 0.770 0.750
Hg1 Hg 0.000 0.000 0.000
Hg2 Hg 0.750 0.250 0.500
```


Record 7
The following is a PBE-GGA calculation of a relaxed structure of HgBiIr3, from the Alexandria database.

- space group = Pm-3m (221)
- DOS at the Fermi energy (states/eV/cell) = 2.308
- formation energy (kJ/mol of formula units) = 955

The structure in CIF format:
```
data_HgBiIr3
_cell_length_a 4.991
_cell_length_b 4.991
_cell_length_c 4.991
_cell_angle_alpha 90.00
_cell_angle_beta 90.00
_cell_angle_gamma 90.00
_symmetry_space_group_name_H-M 'P 1'
_symmetry_Int_Tables_number 1
_symmetry_space_group_name_Hall 'P 1'
loop_
_atom_site_label
_atom_site_type_symbol
_atom_site_fract_x
_atom_site_fract_y
_atom_site_fract_z
Ir1 Ir 0.000 0.500 0.000
Ir2 Ir 0.000 0.000 0.500
Ir3 Ir 0.500 0.000 0.000
Bi1 Bi 0.000 0.000 0.000
Hg1 Hg 0.500 0.500 0.500
```


Record 8
The following is a PBE-GGA calculation of a relaxed structure of HgBi6Ir, from the Alexandria database.

- space group = C2/m (12)
- DOS at the Fermi energy (states/eV/cell) = 8.967
- formation energy (kJ/mol of formula units) = 66

The structure in CIF format:
```
data_HgBi6Ir
_cell_length_a 8.767
_cell_length_b 8.767
_cell_length_c 8.922
_cell_angle_alpha 107.52
_cell_angle_beta 109.33
_cell_angle_gamma 110.90
_symmetry_space_group_name_H-M 'P 1'
_symmetry_Int_Tables_number 1
_symmetry_space_group_name_Hall 'P 1'
loop_
_atom_site_label
_atom_site_type_symbol
_atom_site_fract_x
_atom_site_fract_y
_atom_site_fract_z
Hg1 Hg 0.000 0.500 0.000
Hg2 Hg 0.500 0.000 0.000
Bi1 Bi 0.150 0.622 0.772
Bi2 Bi 0.850 0.378 0.228
Bi3 Bi 0.845 0.684 0.529
Bi4 Bi 0.155 0.316 0.471
Bi5 Bi 0.813 0.142 0.638
Bi6 Bi 0.187 0.858 0.362
Bi7 Bi 0.496 0.824 0.638
Bi8 Bi 0.504 0.176 0.362
Bi9 Bi 0.676 0.810 0.171
Bi10 Bi 0.324 0.190 0.829
Bi11 Bi 0.639 0.505 0.829
Bi12 Bi 0.361 0.495 0.171
Ir1 Ir 0.000 0.000 0.500
Ir2 Ir 0.500 0.500 0.500
```


Record 9
The following is a PBE-GGA calculation of a relaxed structure of Hg3BiIr, from the Alexandria database.

- space group = Pm-3m (221)
- DOS at the Fermi energy (states/eV/cell) = 7.345
- formation energy (kJ/mol of formula units) = 261

The structure in CIF format:
```
data_Hg3BiIr
_cell_length_a 5.227
_cell_length_b 5.227
_cell_length_c 5.227
_cell_angle_alpha 90.00
_cell_angle_beta 90.00
_cell_angle_gamma 90.00
_symmetry_space_group_name_H-M 'P 1'
_symmetry_Int_Tables_number 1
_symmetry_space_group_name_Hall 'P 1'
loop_
_atom_site_label
_atom_site_type_symbol
_atom_site_fract_x
_atom_site_fract_y
_atom_site_fract_z
Ir1 Ir 0.000 0.000 0.000
Bi1 Bi 0.500 0.500 0.500
Hg1 Hg 0.000 0.500 0.000
Hg2 Hg 0.000 0.000 0.500
Hg3 Hg 0.500 0.000 0.000
```


Record 10
The following is a PBE-GGA calculation of a relaxed structure of HgBi2Ir, from the Alexandria database.

- space group = R3m (160)
- DOS at the Fermi energy (states/eV/cell) = 3.234
- formation energy (kJ/mol of formula units) = 41

The structure in CIF format:
```
data_HgBi2Ir
_cell_length_a 4.113
_cell_length_b 4.113
_cell_length_c 8.188
_cell_angle_alpha 75.45
_cell_angle_beta 75.45
_cell_angle_gamma 60.00
_symmetry_space_group_name_H-M 'P 1'
_symmetry_Int_Tables_number 1
_symmetry_space_group_name_Hall 'P 1'
loop_
_atom_site_label
_atom_site_type_symbol
_atom_site_fract_x
_atom_site_fract_y
_atom_site_fract_z
Hg1 Hg 0.499 0.499 0.504
Bi1 Bi 0.060 0.060 0.819
Bi2 Bi 0.273 0.273 0.180
Ir1 Ir 0.668 0.668 0.997
```


Record 11
The following is a PBE-GGA calculation of a relaxed structure of HgBi2Ir, from the Alexandria database.

- space group = R-3m (166)
- DOS at the Fermi energy (states/eV/cell) = 1.760
- formation energy (kJ/mol of formula units) = 29

The structure in CIF format:
```
data_HgBi2Ir
_cell_length_a 4.110
_cell_length_b 4.110
_cell_length_c 8.000
_cell_angle_alpha 75.12
_cell_angle_beta 75.12
_cell_angle_gamma 60.00
_symmetry_space_group_name_H-M 'P 1'
_symmetry_Int_Tables_number 1
_symmetry_space_group_name_Hall 'P 1'
loop_
_atom_site_label
_atom_site_type_symbol
_atom_site_fract_x
_atom_site_fract_y
_atom_site_fract_z
Ir1 Ir 0.000 0.000 0.000
Bi1 Bi 0.271 0.271 0.186
Bi2 Bi 0.729 0.729 0.814
Hg1 Hg 0.500 0.500 0.500
```


Record 12
The following is a PBE-GGA calculation of a relaxed structure of HgBi3Ir, from the Alexandria database.

- space group = Pm-3m (221)
- DOS at the Fermi energy (states/eV/cell) = 0.919
- E above lowest polymorph (meV per atom) = 0
- formation energy (kJ/mol of formula units) = 224

The structure in CIF format:
```
data_HgBi3Ir
_cell_length_a 5.421
_cell_length_b 5.421
_cell_length_c 5.421
_cell_angle_alpha 90.00
_cell_angle_beta 90.00
_cell_angle_gamma 90.00
_symmetry_space_group_name_H-M 'P 1'
_symmetry_Int_Tables_number 1
_symmetry_space_group_name_Hall 'P 1'
loop_
_atom_site_label
_atom_site_type_symbol
_atom_site_fract_x
_atom_site_fract_y
_atom_site_fract_z
Ir1 Ir 0.000 0.000 0.000
Bi1 Bi 0.000 0.500 0.000
Bi2 Bi 0.000 0.000 0.500
Bi3 Bi 0.500 0.000 0.000
Hg1 Hg 0.500 0.500 0.500
```


Number 1: uncorrected energy -2.3263 eV/atom. Number 2: uncorrected energy -2.6275 eV/atom. Number 3: uncorrected energy -3.6049 eV/atom. Number 4: uncorrected energy -1.9560 eV/atom. Number 5: uncorrected energy -1.8397 eV/atom. Number 6: uncorrected energy -4.0836 eV/atom. Number 7: uncorrected energy -4.1735 eV/atom. Number 8: uncorrected energy -3.9699 eV/atom. Number 9: uncorrected energy -2.1891 eV/atom. Number 10: uncorrected energy -4.1256 eV/atom. Number 11: uncorrected energy -4.1568 eV/atom. Number 12: uncorrected energy -3.6963 eV/atom.